No. 1
## NaCaB5H10O14 (meta-GGA SCAN)

Data for a crystal of NaCaB5H10O14 relaxed with PBEsol.

Calculated values
Energy, eV per cell: -932.89
V, Å³ per cell: 1063
N(E_F), states/eV/f.u.: 0.00

a = 6.5471 Å, b = 12.3944 Å, c = 13.2722 Å
α = 90.00°, β = 99.14°, γ = 90.00°
With the nearest neighbours (Å) after each atom.
Space group P2_1/c (No. 14)
Unique sites:
Na1 0.1097 0.0029 0.3231 x4  5 O 2.33-2.50
Ca1 0.3502 0.0871 0.0956 x4  8 O 2.40-2.67
B1 0.1186 0.6513 0.5432 x4  3 O 1.36-1.39
B2 0.1514 0.0575 0.8679 x4  4 O 1.45-1.50
B3 0.2432 0.1906 0.7425 x4  3 O 1.35-1.38
B4 0.3435 0.7372 0.9478 x4  4 O 1.47-1.49
B5 0.4990 0.6453 0.6049 x4  4 O 1.47-1.49
H1 0.0378 0.1814 0.4629 x4  1 O 0.99
H2 0.0568 0.2471 0.6141 x4  1 O 1.00
H3 0.1498 0.6046 0.3416 x4  1 O 1.00
H4 0.2190 0.0655 0.5382 x4  1 O 1.02
H5 0.2764 0.1991 0.4540 x4  1 O 1.01
H6 0.3026 0.5521 0.0342 x4  1 O 1.01
H7 0.3752 0.7484 0.2940 x4  1 O 0.99
H8 0.4404 0.1514 0.2987 x4  1 O 1.00
H9 0.4554 0.5360 0.1820 x4  1 O 1.00
H10 0.4851 0.5913 0.9215 x4  1 O 0.99
O1 0.0485 0.5461 0.3493 x4  1 H 1.00
O2 0.0771 0.1172 0.9530 x4  2 B 1.36-1.50
O3 0.1012 0.1237 0.7730 x4  2 B 1.35-1.50
O4 0.1421 0.7408 0.4829 x4  2 B 1.39-1.49
O5 0.1602 0.1441 0.4437 x4  2 H 0.99-1.01
O6 0.1998 0.2481 0.1546 x4  1 H 1.00
O7 0.2746 0.0040 0.5860 x4  2 H 1.01-1.02
O8 0.2866 0.6037 0.6000 x4  2 B 1.37-1.47
O9 0.3417 0.7034 0.3506 x4  1 H 0.99
O10 0.3502 0.6198 0.9342 x4  1 H 0.99
O11 0.3750 0.0481 0.9000 x4  2 B 1.46-1.47
O12 0.4222 0.0741 0.2785 x4  2 H 1.00
O13 0.4401 0.2041 0.7967 x4  2 B 1.38-1.49
O14 0.4831 0.2201 0.9793 x4  2 B 1.47

***

No. 2
## CaB2H4O6 (meta-GGA SCAN)

Data for a crystal of CaB2H4O6 relaxed with PBEsol.

Calculated values
Energy, eV per cell: -411.97
V, Å³ per cell: 414
N(E_F), states/eV/f.u.: 0.00

a = 9.9929 Å, b = 9.3873 Å, c = 4.4150 Å
α = 90.00°, β = 91.60°, γ = 90.00°
With the nearest neighbours (Å) after each atom.
Space group C2/c (No. 15)
Unique sites:
Ca1 0.0000 0.2134 0.2500 x4  6 O 2.33-2.43
B1 0.2084 0.0696 0.8118 x8  4 O 1.46-1.51
H1 0.1166 0.4810 0.3749 x8  1 O 1.01
H2 0.2070 0.2850 0.7252 x8  1 O 0.99
O1 0.1407 0.4214 0.1943 x8  1 H 1.01
O2 0.1451 0.2037 0.7017 x8  1 H 0.99
O3 0.1658 0.0511 0.1242 x8  2 B 1.46

***

No. 3
## Ca2B8H2O15 (meta-GGA SCAN)

Data for a crystal of Ca2B8H2O15 relaxed with PBEsol.

Calculated values
Energy, eV per cell: -501.50
V, Å³ per cell: 529
N(E_F), states/eV/f.u.: 0.00

a = 6.4144 Å, b = 9.3441 Å, c = 10.0927 Å
α = 117.09°, β = 91.25°, γ = 98.83°
With the nearest neighbours (Å) after each atom.
Space group P-1 (No. 2)
Unique sites:
Ca1 0.0139 0.1763 0.2160 x2  8 O 2.45-2.66
Ca2 0.3260 0.1822 0.6713 x2  7 O 2.35-2.57
B1 0.0694 0.1900 0.9213 x2  4 O 1.45-1.52
B2 0.0821 0.4046 0.6326 x2  3 O 1.35-1.39
B3 0.2273 0.8276 0.4694 x2  4 O 1.43-1.50
B4 0.2485 0.9456 0.2817 x2  4 O 1.45-1.51
B5 0.2653 0.5318 0.3414 x2  3 O 1.35-1.40
B6 0.2908 0.7441 0.0242 x2  3 O 1.37-1.38
B7 0.4221 0.6119 0.7634 x2  4 O 1.46-1.47
B8 0.4370 0.8391 0.6861 x2  3 O 1.36-1.40
H1 0.3296 0.1441 0.0068 x2  1 O 0.99
H2 0.3482 0.3525 0.9883 x2  1 O 0.99
O1 0.0032 0.2401 0.5608 x2  2 B 1.37-1.48
O2 0.0275 0.9227 0.2297 x2  2 B 1.45
O3 0.0493 0.4840 0.3476 x2  2 B 1.39-1.40
O4 0.0924 0.7468 0.9735 x2  2 B 1.37-1.49
O5 0.1774 0.0947 0.9809 x2  1 H 0.99
O6 0.2228 0.3171 0.9137 x2  1 H 0.99
O7 0.2798 0.9560 0.4285 x2  2 B 1.43-1.45
O8 0.2897 0.4488 0.6855 x2  2 B 1.35-1.46
O9 0.2945 0.9048 0.6329 x2  2 B 1.40-1.49
O10 0.3364 0.7231 0.7216 x2  2 B 1.37-1.46
O11 0.3491 0.1068 0.2902 x2  2 B 1.36-1.51
O12 0.3509 0.6930 0.3914 x2  2 B 1.37-1.50
O13 0.3586 0.8167 0.1746 x2  2 B 1.38-1.49
O14 0.3618 0.4009 0.2779 x2  2 B 1.35-1.46
O15 0.4374 0.6768 0.9271 x2  2 B 1.38-1.47

***

No. 4
## CaB2H10O9 (meta-GGA SCAN)

Data for a crystal of CaB2H10O9 relaxed with PBEsol.

Calculated values
Energy, eV per cell: -304.11
V, Å³ per cell: 333
N(E_F), states/eV/f.u.: 0.00

a = 6.3938 Å, b = 7.6514 Å, c = 7.9481 Å
α = 69.12°, β = 68.40°, γ = 74.03°
With the nearest neighbours (Å) after each atom.
Space group P-1 (No. 2)
Unique sites:
Ca1 0.0945 0.0043 0.2366 x2  7 O 2.31-2.49
B1 0.1244 0.3224 0.8423 x2  4 O 1.45-1.50
B2 0.3541 0.9946 0.7907 x2  4 O 1.46-1.50
H1 0.0898 0.6701 0.6049 x2  1 O 1.02
H2 0.1576 0.2544 0.4213 x2  1 O 1.00
H3 0.1793 0.4090 0.0418 x2  1 O 1.01
H4 0.2172 0.7000 0.0472 x2  1 O 1.01
H5 0.2650 0.4969 0.2679 x2  1 O 1.02
H6 0.3079 0.4357 0.4805 x2  1 O 1.03
H7 0.3833 0.4877 0.6896 x2  1 O 1.00
H8 0.3903 0.9234 0.4521 x2  1 O 1.00
H9 0.4190 0.7606 0.6962 x2  1 O 1.00
H10 0.4839 0.1850 0.0049 x2  1 O 1.00
O1 0.0150 0.2097 0.4436 x2  2 H 1.00-1.02
O2 0.1229 0.5943 0.1184 x2  1 H 1.01
O3 0.1528 0.1433 0.8069 x2  2 B 1.45-1.46
O4 0.2088 0.2892 0.0037 x2  1 H 1.01
O5 0.2421 0.4696 0.6764 x2  1 H 1.00
O6 0.3062 0.8811 0.6937 x2  1 H 1.00
O7 0.3586 0.8750 0.9851 x2  1 H 1.00
O8 0.3684 0.4156 0.3487 x2  2 H 1.02-1.03
O9 0.4276 0.9394 0.3142 x2  1 H 1.00

***

No. 5
## CaB2H12O10 (meta-GGA SCAN)

Data for a crystal of CaB2H12O10 relaxed with PBEsol.

Calculated values
Energy, eV per cell: -336.47
V, Å³ per cell: 377
N(E_F), states/eV/f.u.: 0.00

a = 7.7872 Å, b = 6.4129 Å, c = 7.7766 Å
α = 90.00°, β = 104.12°, γ = 90.00°
With the nearest neighbours (Å) after each atom.
Space group P2/c (No. 13)
Unique sites:
Ca1 0.0000 0.0315 0.2500 x2  8 O 2.37-2.54
B1 0.1896 0.2789 0.5699 x4  4 O 1.47-1.49
H1 0.0855 0.3461 0.0182 x4  1 O 1.01
H2 0.2248 0.4571 0.2518 x4  1 O 1.00
H3 0.3415 0.1619 0.8167 x4  1 O 1.01
H4 0.3603 0.3271 0.0742 x4  1 O 1.01
H5 0.3693 0.2293 0.4169 x4  1 O 1.02
H6 0.3743 0.0784 0.1013 x4  1 O 1.01
O1 0.0027 0.2285 0.9669 x4  1 H 1.01
O2 0.2314 0.4938 0.6310 x4  1 H 1.00
O3 0.2377 0.2574 0.3986 x4  1 H 1.02
O4 0.2776 0.1161 0.6941 x4  1 H 1.01
O5 0.4184 0.1984 0.0391 x4  2 H 1.01

***

No. 6
## CaB3H13O12 (meta-GGA SCAN)

Data for a crystal of CaB3H13O12 relaxed with PBEsol.

Calculated values
Energy, eV per cell: -799.51
V, Å³ per cell: 915
N(E_F), states/eV/f.u.: 0.00

a = 8.1887 Å, b = 11.7569 Å, c = 10.4209 Å
α = 90.00°, β = 114.23°, γ = 90.00°
With the nearest neighbours (Å) after each atom.
Space group P2_1/c (No. 14)
Unique sites:
Ca1 0.1695 0.1302 0.0228 x4  8 O 2.32-2.58
B1 0.0270 0.5389 0.7626 x4  4 O 1.45-1.52
B2 0.1664 0.6109 0.4226 x4  4 O 1.47-1.49
B3 0.2061 0.5759 0.2013 x4  3 O 1.36-1.40
H1 0.0300 0.7106 0.7976 x4  1 O 1.00
H2 0.1705 0.7332 0.0212 x4  1 O 0.99
H3 0.1749 0.1166 0.5995 x4  1 O 1.01
H4 0.2273 0.1101 0.4718 x4  1 O 0.99
H5 0.2532 0.5648 0.0217 x4  1 O 1.02
H6 0.2998 0.5728 0.8500 x4  1 O 1.03
H7 0.3043 0.0909 0.3113 x4  1 O 1.01
H8 0.3262 0.6050 0.6407 x4  1 O 1.00
H9 0.3541 0.7397 0.8192 x4  1 O 1.01
H10 0.3713 0.2200 0.8692 x4  1 O 0.99
H11 0.4603 0.1675 0.6403 x4  1 O 1.01
H12 0.4887 0.1360 0.3102 x4  1 O 1.00
H13 0.4967 0.1137 0.9467 x4  1 O 1.00
O1 0.0098 0.6568 0.7183 x4  1 H 1.00
O2 0.0181 0.5300 0.3637 x4  2 B 1.46-1.47
O3 0.0854 0.7147 0.4506 x4  1 H 0.99
O4 0.0883 0.0127 0.6625 x4  2 B 1.36-1.48
O5 0.2168 0.5153 0.8686 x4  1 H 1.03
O6 0.2371 0.1617 0.5501 x4  2 H 0.99-1.01
O7 0.2470 0.6373 0.3211 x4  2 B 1.36-1.49
O8 0.2899 0.6087 0.1144 x4  1 H 1.02
O9 0.3074 0.5634 0.5520 x4  1 H 1.00
O10 0.3568 0.1523 0.2720 x4  2 H 1.00-1.01
O11 0.3841 0.1551 0.9338 x4  2 H 0.99-1.00
O12 0.4051 0.6641 0.8080 x4  2 H 1.01

***

Q: Look up the energy of the second one.
A: -411.97 eV per cell

***

Q: Number 1 is which compound?
A: NaCaB5H10O14

***

Q: What is the formula in the fourth record?
A: CaB2H10O9